# MnBrF3

A relaxed structure of MnBrF3 (GGA+U, the Alexandria database).

a = 4.1677 Å, b = 4.1677 Å, c = 4.1677 Å
α = 90.00°, β = 90.00°, γ = 90.00°
Closest atoms and distances in Å follow each position.
Space group Pm-3m (No. 221)
Asymmetric unit:
Mn: 0.0000 0.0000 0.0000 x1  6 F 2.08
Br: 0.5000 0.5000 0.5000 x1  12 F 2.95
F: 0.0000 0.0000 0.5000 x3  2 Mn 2.08

Energy (eV per atom): -4.43
Excess energy over the best structure of this formula in the dataset (eV/atom): 0.174
D(E_F) (states/eV per cell): 13.16
V (Å³/f.u.): 72.4
Magnetization (μB per cell): 4.53